# 1
Here is a relaxed DyGaO3 crystal from the Open Quantum Materials Database. Energies are from GGA-PBE.

Cell lengths 5.558, 7.560, 5.263 Å; angles 90.00, 90.00, 90.00 degrees
Positions (direct):
Dy 0.068 0.250 0.019
Dy 0.432 0.750 0.519
Dy 0.568 0.250 0.481
Dy 0.932 0.750 0.981
Ga 0.000 0.000 0.500
Ga 0.000 0.500 0.500
Ga 0.500 0.000 0.000
Ga 0.500 0.500 0.000
O 0.037 0.750 0.390
O 0.196 0.556 0.806
O 0.196 0.944 0.806
O 0.304 0.056 0.306
O 0.304 0.444 0.306
O 0.463 0.250 0.890
O 0.537 0.750 0.110
O 0.696 0.556 0.694
O 0.696 0.944 0.694
O 0.804 0.056 0.194
O 0.804 0.444 0.194
O 0.963 0.250 0.610

Computed properties:
Spin magnetization   0.0 Bohr magnetons per cell
Energy   -7.2125 eV per atom
SG   No. 62

=====

# 2
Here is a relaxed Dy2Ga2O5 crystal from the Open Quantum Materials Database. Energies are from GGA-PBE.

Cell lengths 3.921, 3.921, 8.635 Å; angles 90.00, 90.00, 90.00 degrees
Positions (direct):
Dy 0.000 0.000 0.246
Dy 0.000 0.000 0.754
Ga 0.500 0.500 0.000
Ga 0.500 0.500 0.500
O 0.000 0.000 0.500
O 0.000 0.500 0.144
O 0.000 0.500 0.856
O 0.500 0.000 0.144
O 0.500 0.000 0.856

Computed properties:
Spin magnetization   0.0 Bohr magnetons per cell
Energy   -6.5301 eV per atom
E above lowest polymorph   175.5 meV/atom
SG   No. 123

=====

# 3
Here is a relaxed DyGaO3 crystal from the Open Quantum Materials Database. Energies are from GGA-PBE.

Cell lengths 3.624, 3.624, 4.637 Å; angles 90.00, 90.00, 90.00 degrees
Positions (direct):
Dy 0.000 0.000 0.000
Ga 0.500 0.500 0.567
O 0.000 0.500 0.707
O 0.500 0.000 0.707
O 0.500 0.500 0.169

Computed properties:
Spin magnetization   0.0 Bohr magnetons per cell
Energy   -7.0757 eV per atom
SG   No. 99

=====

# 4
Here is a relaxed DyGaO3 crystal from the Open Quantum Materials Database. Energies are from GGA-PBE.

Cell lengths 5.718, 5.718, 5.718 Å; angles 56.02, 56.02, 56.02 degrees
Positions (direct):
Dy 0.134 0.134 0.134
Dy 0.866 0.866 0.866
Ga 0.349 0.349 0.349
Ga 0.651 0.651 0.651
O 0.059 0.709 0.466
O 0.291 0.534 0.941
O 0.466 0.059 0.709
O 0.534 0.941 0.291
O 0.709 0.466 0.059
O 0.941 0.291 0.534

Computed properties:
Spin magnetization   0.0 Bohr magnetons per cell
Energy   -7.1096 eV per atom
SG   No. 148

=====

# 5
Here is a relaxed Dy2Ga2O5 crystal from the Open Quantum Materials Database. Energies are from GGA-PBE.

Cell lengths 3.870, 3.870, 6.857 Å; angles 90.00, 90.00, 90.00 degrees
Positions (direct):
Dy 0.000 0.000 0.000
Dy 0.000 0.000 0.500
Ga 0.500 0.500 0.207
Ga 0.500 0.500 0.793
O 0.000 0.500 0.236
O 0.000 0.500 0.764
O 0.500 0.000 0.236
O 0.500 0.000 0.764
O 0.500 0.500 0.500

Computed properties:
Spin magnetization   0.0 Bohr magnetons per cell
Energy   -6.7056 eV per atom
E above lowest polymorph   0.0 meV/atom
SG   No. 123

=====

# 6
Here is a relaxed DyGa3P crystal from the Open Quantum Materials Database. Energies are from GGA-PBE.

Cell lengths 4.766, 4.766, 4.766 Å; angles 90.00, 90.00, 90.00 degrees
Positions (direct):
Dy 0.000 0.000 0.000
Ga 0.000 0.500 0.500
Ga 0.500 0.000 0.500
Ga 0.500 0.500 0.000
P 0.500 0.500 0.500

Computed properties:
Spin magnetization   0.0 Bohr magnetons per cell
Energy   -3.7195 eV per atom
SG   No. 221

=====

# 7
Here is a relaxed DyGa2P3 crystal from the Open Quantum Materials Database. Energies are from GGA-PBE.

Cell lengths 6.064, 6.064, 3.619 Å; angles 90.00, 90.00, 120.00 degrees
Positions (direct):
Dy 0.000 0.000 0.000
Ga 0.333 0.667 0.000
Ga 0.667 0.333 0.000
P 0.000 0.500 0.500
P 0.500 0.000 0.500
P 0.500 0.500 0.500

Computed properties:
Spin magnetization   0.0 Bohr magnetons per cell
Energy   -4.3637 eV per atom
SG   No. 191

=====

# 8
Here is a relaxed DyPaGa crystal from the Open Quantum Materials Database. Energies are from GGA-PBE.

Cell lengths 4.899, 4.899, 4.899 Å; angles 60.00, 60.00, 60.00 degrees
Positions (direct):
Dy 0.000 0.000 0.000
Pa 0.250 0.250 0.250
Ga 0.750 0.750 0.750

Computed properties:
Spin magnetization   2.5 Bohr magnetons per cell
Energy   -5.0000 eV per atom
E above lowest polymorph   0.0 meV/atom
SG   No. 216

=====

> energy of number 7 (DyGa2P3)?

-4.3637 eV per atom